This record from Alexandria describes a relaxed CuOsBr crystal. The functional is PBE.

Cell and atoms, written as extended XYZ:
```
3
Lattice="-5.737 -2.727 0.896 -2.996 -5.652 -0.486 4.894 3.738 1.798" Properties=species:S:1:pos:R:3 pbc="T T T"
Br -0.277 -0.266 0.013
Cu -2.567 -2.463 0.121
Os -5.889 -5.650 0.276
```

Computed properties:
The value obtained for the mass density is 10.2 g/cm3. The uncorrected energy comes out at -13.9 eV/f.u. The value obtained for the energy above the most stable polymorph in this dataset is 120 meV per atom. The calculation puts the total moment at 0.00 μB/cell. For the formation energy without anion corrections, the calculation gives 1.04 eV per atom.

=====

This record from Alexandria describes a relaxed Tb2ErAg3S6 crystal. The functional is PBE.

Cell and atoms, written as extended XYZ:
```
12
Lattice="4.043 0.000 0.000 0.000 9.552 0.435 -2.022 -2.432 7.351" Properties=species:S:1:pos:R:3 pbc="T T T"
Tb 2.022 4.861 5.261
Tb 0.000 2.259 2.525
Er 2.022 0.000 0.000
Ag 2.022 4.776 0.218
Ag 2.022 0.889 5.185
Ag 0.000 6.231 2.601
S 0.000 6.651 5.111
S 2.022 4.254 2.544
S 2.022 0.469 2.675
S 2.022 -0.593 7.193
S 0.000 7.712 0.593
S 0.000 2.866 5.242
```

Computed properties:
The value obtained for the mass density is 5.8 g/cm3. The uncorrected energy comes out at -62.7 eV/f.u. The calculation puts the total moment at 0.00 μB/cell. For the formation energy without anion corrections, the calculation gives -1.30 eV per atom.

=====

This record from Alexandria describes a relaxed Ta2PtAu crystal. The functional is PBE.

Cell and atoms, written as extended XYZ:
```
4
Lattice="-6.452 -5.751 -4.380 -5.279 -7.701 -2.589 -7.428 -5.994 -1.664" Properties=species:S:1:pos:R:3 pbc="T T T"
Au -4.790 -4.861 -2.158
Pt -14.369 -14.584 -6.474
Ta -0.035 -0.036 -0.016
Ta -9.544 -9.687 -4.300
```

Computed properties:
The formation energy is -0.129 eV/atom. The value obtained for the mass density is 18.1 g/cm3. The uncorrected energy comes out at -33.5 eV/f.u. The calculation puts the total moment at 0.00 μB/cell.

=====

This record from Alexandria describes a relaxed ScCrCd2 crystal. The functional is PBE.

Cell and atoms, written as extended XYZ:
```
4
Lattice="4.276 0.000 0.000 0.000 4.276 0.000 0.000 0.000 4.401" Properties=species:S:1:pos:R:3 pbc="T T T"
Cd 0.000 0.000 0.000
Cd 2.138 2.138 0.000
Cr 2.138 0.000 2.200
Sc 0.000 2.138 2.200
```

Computed properties:
The formation energy is 0.095 eV/atom. The value obtained for the mass density is 6.6 g/cm3. The uncorrected energy comes out at -17.4 eV/f.u. The value obtained for the energy above the most stable polymorph in this dataset is 52 meV per atom. The calculation puts the total moment at 3.46 μB/cell.

=====

This record from Alexandria describes a relaxed ScTlMo2 crystal. The functional is PBE.

Cell and atoms, written as extended XYZ:
```
4
Lattice="-5.860 -5.874 4.141 -5.959 -7.005 1.190 -3.657 -7.916 3.156" Properties=species:S:1:pos:R:3 pbc="T T T"
Mo -15.309 -20.569 8.394
Mo -3.959 -5.319 2.171
Sc -7.866 -10.569 4.313
Tl -11.559 -15.531 6.338
```

Computed properties:
The formation energy is 0.252 eV/atom. The value obtained for the mass density is 9.3 g/cm3. The uncorrected energy comes out at -29.4 eV/f.u. The value obtained for the energy above the most stable polymorph in this dataset is 187 meV per atom. The calculation puts the total moment at 0.00 μB/cell.

=====

This record from Alexandria describes a relaxed CdHg crystal. The functional is PBE.

Cell and atoms, written as extended XYZ:
```
12
Lattice="13.240 0.000 0.000 0.000 3.238 0.000 0.000 0.000 7.275" Properties=species:S:1:pos:R:3 pbc="T T T"
Cd 11.728 1.624 4.273
Cd 8.132 1.614 0.635
Cd 1.512 1.624 4.273
Cd 5.108 1.614 0.635
Cd 0.000 0.022 2.053
Cd 6.620 3.216 5.691
Hg 10.105 0.002 2.201
Hg 9.755 3.236 5.838
Hg 3.135 0.002 2.201
Hg 3.485 3.236 5.838
Hg 0.000 1.647 6.839
Hg 6.620 1.591 3.201
```

Computed properties:
The formation energy is 0.036 eV/atom. The value obtained for the mass density is 10.0 g/cm3. The uncorrected energy comes out at -1.1 eV/f.u. The calculation puts the total moment at 0.00 μB/cell.

=====

This record from Alexandria describes a relaxed AlTcAu crystal. The functional is PBE.

Cell and atoms, written as extended XYZ:
```
3
Lattice="6.139 0.002 -0.002 5.480 2.768 0.004 0.659 0.151 2.762" Properties=species:S:1:pos:R:3 pbc="T T T"
Au 4.357 1.034 1.831
Tc 7.854 1.870 0.950
Al 0.727 0.167 2.745
```

Computed properties:
The formation energy is -0.022 eV/atom. The value obtained for the mass density is 11.4 g/cm3. The uncorrected energy comes out at -17.5 eV/f.u. The value obtained for the energy above the most stable polymorph in this dataset is 324 meV per atom. The calculation puts the total moment at 0.61 μB/cell.

=====

This record from Alexandria describes a relaxed YTc4Ge2 crystal. The functional is PBE.

Cell and atoms, written as extended XYZ:
```
7
Lattice="4.094 0.000 0.000 0.000 4.133 0.000 0.000 -2.066 7.170" Properties=species:S:1:pos:R:3 pbc="T T T"
Y 0.000 0.000 0.000
Tc 2.047 2.066 4.412
Tc 0.000 2.066 2.836
Tc 2.047 0.000 2.759
Tc 0.000 0.000 4.334
Ge 2.047 2.066 1.253
Ge 2.047 0.000 5.918
```

Computed properties:
The formation energy is -0.395 eV/atom. The value obtained for the mass density is 8.6 g/cm3. The uncorrected energy comes out at -59.9 eV/f.u. The calculation puts the total moment at 0.00 μB/cell.

=====

This record from Alexandria describes a relaxed Co3Os2 crystal. The functional is PBE.

Cell and atoms, written as extended XYZ:
```
5
Lattice="-0.884 1.557 -4.479 -0.435 -2.512 -4.095 -3.879 -0.691 -2.782" Properties=species:S:1:pos:R:3 pbc="T T T"
Co 0.000 0.000 0.000
Co -4.221 -1.336 -9.221
Co -0.977 -0.309 -2.135
Os -3.133 -0.992 -6.843
Os -2.065 -0.654 -4.512
```

Computed properties:
The formation energy is 0.315 eV/atom. The value obtained for the mass density is 15.1 g/cm3. The uncorrected energy comes out at -42.2 eV/f.u. The calculation puts the total moment at 4.14 μB/cell.

=====

This record from Alexandria describes a relaxed SrMgGaAg3 crystal. The functional is PBE.

Cell and atoms, written as extended XYZ:
```
12
Lattice="-2.684 4.787 -2.649 2.555 -2.003 -6.209 -6.722 -2.641 2.039" Properties=species:S:1:pos:R:3 pbc="T T T"
Sr -5.222 1.444 -2.615
Sr -1.629 -1.301 -4.205
Mg -4.289 -3.080 -4.725
Mg -2.562 3.223 -2.094
Ga -4.620 -1.445 -1.435
Ga -2.231 1.589 -5.384
Ag -2.400 0.040 -1.001
Ag 0.770 -0.603 -1.871
Ag 0.443 0.994 -5.663
Ag -0.572 1.790 -3.195
Ag 1.785 -1.400 -4.339
Ag -4.451 0.104 -5.818
```

Computed properties:
The formation energy is -0.113 eV/atom. The value obtained for the mass density is 5.9 g/cm3. The uncorrected energy comes out at -15.5 eV/f.u. The calculation puts the total moment at 0.00 μB/cell.